A relaxed structure of ZrTl2Zn. Source: the Alexandria database, functional PBEsol.

Cell and atoms, written as POSCAR:
```
ZrTl2Zn
1.0
3.279 0.000 0.000
0.000 4.178 0.000
0.000 0.000 6.204
Tl Zn Zr
2 1 1
direct
0.000 0.000 0.244
0.000 0.000 0.756
0.500 0.500 0.000
0.500 0.500 0.500
```

Results
total moment: 0.0 Bohr magnetons per cell
space group: Pmmm (47)
calculated formation energy: 94 meV per atom

=====

A relaxed structure of Zr2TlZn. Source: the Alexandria database, functional PBEsol.

Cell and atoms, written as POSCAR:
```
Zr2TlZn
1.0
3.125 0.000 0.000
0.000 5.160 -0.010
0.000 -1.558 4.919
Zr Zn Tl
2 1 1
direct
0.000 0.500 0.000
0.000 0.000 0.500
0.500 0.500 0.500
0.500 0.000 0.000
```

Results
total moment: 0.0 Bohr magnetons per cell
space group: Cmmm (65)
calculated formation energy: -192 meV per atom

=====

A relaxed structure of Zr5Tl. Source: the Alexandria database, functional PBEsol.

Cell and atoms, written as POSCAR:
```
Zr5Tl
1.0
4.363 0.000 0.000
0.000 4.388 0.000
0.000 2.194 6.852
Tl Zr
1 5
direct
0.000 0.500 0.000
0.500 0.334 0.332
0.000 0.833 0.333
0.500 0.666 0.668
0.000 0.167 0.667
0.500 0.000 0.000
```

Results
total moment: 0.0 Bohr magnetons per cell
space group: Cmmm (65)
calculated formation energy: -95 meV per atom

=====

A relaxed structure of ZrTl. Source: the Alexandria database, functional PBEsol.

Cell and atoms, written as POSCAR:
```
ZrTl
1.0
3.219 0.003 0.018
1.612 2.786 0.018
1.590 0.918 5.037
Tl Zr
1 1
direct
0.000 0.000 0.000
0.500 0.500 0.500
```

Results
total moment: 0.0 Bohr magnetons per cell
space group: C2/m (12)
calculated formation energy: -75 meV per atom

=====

A relaxed structure of ZrTl. Source: the Alexandria database, functional PBEsol.

Cell and atoms, written as POSCAR:
```
ZrTl
1.0
5.980 0.000 0.000
0.000 9.056 0.000
0.000 0.000 9.865
Zr Tl
12 12
direct
0.000 0.750 0.394
0.500 0.250 0.606
0.750 0.536 0.113
0.250 0.361 0.328
0.250 0.964 0.113
0.750 0.139 0.328
0.750 0.639 0.672
0.500 0.750 0.394
0.250 0.464 0.887
0.750 0.036 0.887
0.000 0.250 0.606
0.250 0.861 0.672
0.500 0.250 0.087
0.000 0.750 0.913
0.750 0.455 0.408
0.250 0.045 0.408
0.750 0.376 0.840
0.500 0.750 0.913
0.250 0.124 0.840
0.250 0.545 0.592
0.750 0.955 0.592
0.250 0.624 0.160
0.750 0.876 0.160
0.000 0.250 0.087
```

Results
total moment: 0.0 Bohr magnetons per cell
space group: Pbcm (57)
calculated formation energy: -163 meV per atom

=====

A relaxed structure of Zr3Tl2. Source: the Alexandria database, functional PBEsol.

Cell and atoms, written as POSCAR:
```
Zr3Tl2
1.0
-3.922 4.445 -0.814
-5.850 -1.119 0.081
1.831 -1.029 7.548
Zr Tl
6 4
direct
0.453 0.115 0.201
0.502 0.615 0.299
0.190 0.500 0.500
0.940 0.000 0.000
0.367 0.885 0.799
0.819 0.385 0.701
0.355 0.428 0.899
0.033 0.072 0.399
0.706 0.928 0.601
0.884 0.572 0.101
```

Results
total moment: 0.0 Bohr magnetons per cell
space group: Fdd2 (43)
calculated formation energy: -111 meV per atom

=====

A relaxed structure of ZrTl3. Source: the Alexandria database, functional PBEsol.

Cell and atoms, written as POSCAR:
```
ZrTl3
1.0
3.323 0.000 0.000
0.000 5.522 0.000
-1.661 -2.761 5.188
Tl Zr
3 1
direct
0.500 0.155 0.000
0.259 0.256 0.518
0.741 0.738 0.482
0.000 0.684 0.000
```

Results
total moment: 0.0 Bohr magnetons per cell
space group: Imm2 (44)
calculated formation energy: -20 meV per atom

=====

A relaxed structure of Zr3Tl. Source: the Alexandria database, functional PBEsol.

Cell and atoms, written as POSCAR:
```
Zr3Tl
1.0
5.173 0.000 0.000
0.000 6.223 0.000
0.000 -3.111 5.389
Zr Tl
6 2
direct
0.750 0.168 0.335
0.750 0.665 0.832
0.250 0.335 0.168
0.250 0.832 0.665
0.250 0.832 0.168
0.750 0.168 0.832
0.750 0.667 0.333
0.250 0.333 0.667
```

Results
total moment: 0.0 Bohr magnetons per cell
space group: P6_3/mmc (194)
calculated formation energy: -142 meV per atom

=====

A relaxed structure of ZrTl. Source: the Alexandria database, functional PBEsol.

Cell and atoms, written as POSCAR:
```
ZrTl
1.0
-0.969 -1.719 2.533
-1.670 -0.099 -2.741
2.823 -3.917 -1.579
Tl Zr
1 1
direct
0.000 0.000 0.000
0.333 0.667 0.500
```

Results
total moment: 0.0 Bohr magnetons per cell
space group: P-6m2 (187)
calculated formation energy: -59 meV per atom

=====

A relaxed structure of ZrTl. Source: the Alexandria database, functional PBEsol.

Cell and atoms, written as POSCAR:
```
ZrTl
1.0
5.141 0.000 0.000
0.000 5.763 0.000
0.000 0.000 5.981
Tl Zr
4 4
direct
0.750 0.614 0.371
0.250 0.886 0.871
0.750 0.114 0.129
0.250 0.386 0.629
0.750 0.625 0.878
0.250 0.375 0.122
0.250 0.875 0.378
0.750 0.125 0.622
```

Results
total moment: 0.0 Bohr magnetons per cell
space group: Pnma (62)
calculated formation energy: -99 meV per atom

=====

A relaxed structure of Zr8Tl. Source: the Alexandria database, functional PBEsol.

Cell and atoms, written as POSCAR:
```
Zr8Tl
1.0
4.230 0.000 0.000
2.115 6.839 0.000
2.115 0.000 6.839
Zr Tl
8 1
direct
0.333 0.334 0.000
0.334 0.666 0.666
0.333 0.000 0.334
0.667 0.000 0.666
0.667 0.666 0.000
0.000 0.334 0.666
0.666 0.334 0.334
0.000 0.666 0.334
0.000 0.000 0.000
```

Results
total moment: 0.0 Bohr magnetons per cell
space group: I4/mmm (139)
calculated formation energy: -56 meV per atom

=====

A relaxed structure of Zr3Tl. Source: the Alexandria database, functional PBEsol.

Cell and atoms, written as POSCAR:
```
Zr3Tl
1.0
-2.970 -1.093 -0.156
1.028 -2.910 0.718
-1.100 1.752 8.678
Zr Tl
3 1
direct
0.500 0.500 0.749
0.500 0.500 0.251
0.000 0.000 0.500
0.000 0.000 0.000
```

Results
total moment: 0.0 Bohr magnetons per cell
space group: P4/mmm (123)
calculated formation energy: -66 meV per atom

=====

- Number 4 is which compound?
  ZrTl

=====

- Which value of calculated formation energy does entry 1 give?
  94 meV per atom

=====

- Which value of total moment does entry 9 give?
  0.0 Bohr magnetons per cell